Entry 1:
VASP calculation (GGA-PBE) on an optimized crystal structure of Sn2SbSe4.

The space group is Cmcm (No. 63) and the conventional cell measures 4.025, 13.497 and 14.175 Å, with angles of 90.00, 90.00 and 90.00 degrees. Symmetry generates all atoms from Sn at (0.000, 0.133, 0.063), Sb at (0.000, 0.383, 0.250), Se at (0.000, 0.027, 0.250), Se at (0.000, 0.225, 0.621) and Se at (0.000, 0.500, 0.000).

As for the energy relative to the elements, uncorrected: -0.281 eV/atom. Its energy above the lowest structure with this stoichiometry is 20.4 kJ/mol of formula units.

Entry 2:
VASP calculation (GGA-PBE) on an optimized crystal structure of SnSbSe4.

The space group is P2/m (No. 10) and the conventional cell measures 6.752, 3.884 and 6.878 Å, with angles of 90.00, 91.91 and 90.00 degrees. Symmetry generates all atoms from Sn at (0.000, 0.000, 0.000), Sb at (0.500, 0.500, 0.000), Se at (0.151, 0.500, 0.765) and Se at (0.334, 0.000, 0.238).

As for the energy relative to the elements, uncorrected: -0.246 eV/atom. Its energy above the lowest structure with this stoichiometry is 1.4 kJ/mol of formula units.